Density functional theory data (PBE-GGA) for a relaxed structure of CoTc2Au.

Summary:
uncorrected energy: -7.117 eV per atom
D(E_F): 11.495 states/eV per cell
energy relative to the lowest polymorph listed for this composition: 456 meV/atom
magnetization: 0.00 μB per cell
energy of formation from the pure elements: 0.662 eV/atom

Lattice parameters (Å, degrees): 7.0534 7.0534 5.5814 50.81 50.81 90.00
With the nearest neighbours (Å) after each atom.
Positions (direct):
Au (0.7500, 0.2500, 0.5000)  2 Co 2.51
Au (0.0000, 0.0000, 0.0000)  2 Co 2.51
Co (0.2500, 0.7500, 0.5000)  4 Tc 2.31, 2 Au 2.51
Co (0.5000, 0.5000, 0.0000)  4 Tc 2.31, 2 Au 2.51
Tc (0.5661, 0.1250, 0.2500)  2 Co 2.31
Tc (0.1840, 0.6250, 0.2500)  2 Co 2.31
Tc (0.8750, 0.8161, 0.7500)  2 Co 2.31
Tc (0.3750, 0.4340, 0.7500)  2 Co 2.31